# 1
This record from Alexandria via LeMat-Bulk describes Np4P3H4 after structural relaxation. The functional is PBE.

As for the total energy: -7.874 eV/atom. The calculation puts the total magnetization at 15.01 μB per cell.

Geometry as extended XYZ:
```
11
Lattice="5.546 0.000 -1.961 -2.773 4.803 -1.961 0.000 0.000 5.883" Properties=species:S:1:pos:R:3 pbc="T T T"
H 0.000 0.000 1.303
H -0.614 1.064 -0.434
H 2.159 3.740 1.527
H 1.228 0.000 -0.434
Np 1.120 1.940 0.792
Np -1.653 2.863 -1.169
Np 3.306 0.000 -1.169
Np 0.000 0.000 3.507
P 2.773 0.000 1.961
P 1.387 2.402 -1.961
P -1.387 2.402 1.961
```

# 2
This record from Alexandria via LeMat-Bulk describes FeAg2Ir after structural relaxation. The functional is PBE.

The energy above the lowest structure with this stoichiometry comes out at 0.1823 eV per atom. The formation energy from the elements comes out at 379.3 meV/atom. The calculation puts the total magnetization at 3.50 μB per cell.

Geometry as extended XYZ:
```
4
Lattice="-2.637 -0.376 -1.324 -1.894 -0.682 3.966 -0.857 4.639 0.389" Properties=species:S:1:pos:R:3 pbc="T T T"
Fe -1.747 2.132 -0.468
Ir -1.375 1.979 2.178
Ag 0.000 0.000 0.000
Ag -2.266 -0.529 1.321
```

So what do the calculations give for calculated volume? Going down the list: 14.25, 15.66 Å³/atom.